(1)
A relaxed Mg4Tl2Cd5 crystal. Source: Alexandria via LeMat-Bulk, functional PBE.

The space-group type is P2/m (10). The value obtained for the volume is 23.92 A^3/atom. As for the formation energy from the elements: -0.009 eV per atom.

a b c (Å): 3.2477 7.5537 10.7674
angles (deg): 84.90 90.00 90.00
Last column: nearest neighbours and their distance in Å.
Sites, in units of the cell vectors:
Tl: 0.0000 0.0556 0.3535  2 Cd 3.08-3.16, 6 Mg 3.13-3.27, 3 Tl 3.19-3.25
Cd: 0.0000 0.5277 0.7064  6 Mg 3.06-3.39, 4 Cd 3.13-3.25, 1 Tl 3.16
Mg: 0.5000 0.7060 0.4565  4 Cd 3.06-3.32, 3 Mg 3.17-3.25, 4 Tl 3.21-3.27
Cd: 0.0000 0.8338 0.1272  4 Cd 2.97-3.25, 1 Tl 3.08, 4 Mg 3.10-3.15
Cd: 0.0000 0.5000 0.0000  6 Cd 2.97-3.25, 4 Mg 3.01
Mg: 0.5000 0.2940 0.5435  4 Cd 3.06-3.32, 3 Mg 3.17-3.25, 4 Tl 3.21-3.27
Mg: 0.5000 0.1922 0.1161  6 Cd 3.01-3.15, 2 Tl 3.13, 2 Mg 3.25
Cd: 0.0000 0.4723 0.2936  6 Mg 3.06-3.39, 4 Cd 3.13-3.25, 1 Tl 3.16
Cd: 0.0000 0.1662 0.8728  4 Cd 2.97-3.25, 1 Tl 3.08, 4 Mg 3.10-3.15
Mg: 0.5000 0.8078 0.8839  6 Cd 3.01-3.15, 2 Tl 3.13, 2 Mg 3.25
Tl: 0.0000 0.9444 0.6465  2 Cd 3.08-3.16, 6 Mg 3.13-3.27, 3 Tl 3.19-3.25

***

(2)
A relaxed TbTmGaCo crystal. Source: Alexandria via LeMat-Bulk, functional PBE.

The value obtained for the polymorph energy (0 for the lowest one) is 56 meV per atom. The space-group type is F-43m (216). The value obtained for the volume is 20.72 A^3/atom. As for the formation energy from the elements: -0.334 eV per atom.

a b c (Å): 4.8942 4.8942 4.8942
angles (deg): 60.00 60.00 60.00
Last column: nearest neighbours and their distance in Å.
Sites, in units of the cell vectors:
Ga: 0.2500 0.2500 0.2500  4 Tb 3.00, 4 Tm 3.00
Tm: 0.5000 0.5000 0.5000  4 Ga 3.00, 4 Co 3.00
Tb: 0.0000 0.0000 0.0000  4 Co 3.00, 4 Ga 3.00
Co: 0.7500 0.7500 0.7500  4 Tm 3.00, 4 Tb 3.00